No. 1
# InSiH

A relaxed structure of InSiH (PBE-GGA, the Alexandria database).

Properties
Energy above the lowest structure with this stoichiometry: 64 meV/atom

abc: 8.596 8.196 7.846
angles: 93.29 56.78 58.37
Fractional coordinates of all 18 atoms:
1 H 0.805 0.007 0.326
2 H 0.352 0.535 0.866
3 H 0.726 0.845 0.498
4 H 0.862 0.507 0.826
5 H 0.247 0.035 0.366
6 H 0.931 0.345 0.998
7 Si 0.005 0.025 0.204
8 Si 0.949 0.148 0.965
9 Si 0.938 0.648 0.465
10 Si 0.971 0.155 0.507
11 Si 0.367 0.655 0.007
12 Si 0.766 0.525 0.704
13 In 0.408 0.495 0.290
14 In 0.262 0.312 0.027
15 In 0.399 0.812 0.527
16 In 0.364 0.229 0.566
17 In 0.841 0.729 0.066
18 In 0.807 0.995 0.790



No. 2
# SiSbRh2

A relaxed structure of SiSbRh2 (PBE-GGA, the Alexandria database).

Properties
Energy above the lowest structure with this stoichiometry: 55 meV/atom

abc: 4.326 4.326 5.195
angles: 76.06 76.06 47.95
Fractional coordinates of all 4 atoms:
1 Rh 0.025 0.025 0.866
2 Rh 0.255 0.255 0.222
3 Sb 0.503 0.503 0.480
4 Si 0.717 0.717 0.933



No. 3
# NbTcB

A relaxed structure of NbTcB (PBE-GGA, the Alexandria database).

Properties
Energy above the lowest structure with this stoichiometry: 183 meV/atom

abc: 2.954 4.666 5.840
angles: 98.39 104.65 90.00
Fractional coordinates of all 6 atoms:
1 B 0.764 0.109 0.528
2 B 0.236 0.891 0.472
3 Nb 0.570 0.780 0.141
4 Nb 0.430 0.220 0.859
5 Tc 0.835 0.672 0.670
6 Tc 0.165 0.328 0.330



No. 4
# Tb6IrPb2

A relaxed structure of Tb6IrPb2 (PBE-GGA, the Alexandria database).

Properties
Electronic total energy: -5.32 eV per atom

abc: 6.384 8.337 10.168
angles: 90.00 90.27 90.00
Fractional coordinates of all 18 atoms:
1 Tb 0.885 0.973 0.244
2 Tb 0.865 0.686 0.550
3 Tb 0.866 0.676 0.952
4 Tb 0.634 0.176 0.548
5 Tb 0.635 0.186 0.950
6 Tb 0.615 0.473 0.256
7 Tb 0.115 0.027 0.756
8 Tb 0.135 0.314 0.450
9 Tb 0.134 0.324 0.048
10 Tb 0.366 0.824 0.452
11 Tb 0.365 0.814 0.050
12 Tb 0.385 0.527 0.744
13 Ir 0.500 0.500 0.000
14 Ir 0.000 0.000 0.500
15 Pb 0.917 0.386 0.745
16 Pb 0.583 0.886 0.755
17 Pb 0.417 0.114 0.245
18 Pb 0.083 0.614 0.255



No. 5
# Pm3SmEr5

A relaxed structure of Pm3SmEr5 (PBE-GGA, the Alexandria database).

Properties
Electronic total energy: -4.38 eV per atom

abc: 8.681 8.681 9.865
angles: 116.11 116.11 90.00
Fractional coordinates of all 18 atoms:
1 Pm 0.617 0.117 0.000
2 Pm 0.383 0.883 0.000
3 Pm 0.883 0.617 0.000
4 Pm 0.117 0.383 0.000
5 Pm 0.250 0.250 0.500
6 Pm 0.750 0.750 0.500
7 Sm 0.750 0.250 0.500
8 Sm 0.250 0.750 0.500
9 Er 0.072 0.572 0.726
10 Er 0.654 0.154 0.726
11 Er 0.154 0.072 0.726
12 Er 0.572 0.654 0.726
13 Er 0.928 0.428 0.274
14 Er 0.346 0.846 0.274
15 Er 0.846 0.928 0.274
16 Er 0.428 0.346 0.274
17 Er 0.500 0.500 0.000
18 Er 0.000 0.000 0.000



No. 6
# LiAc2TmTl6

A relaxed structure of LiAc2TmTl6 (PBE-GGA, the Alexandria database).

Properties
Electronic total energy: -3.03 eV per atom

abc: 7.602 7.602 7.580
angles: 60.08 60.08 90.04
Fractional coordinates of all 10 atoms:
1 Li 0.000 0.000 0.000
2 Ac 0.250 0.750 0.500
3 Ac 0.750 0.250 0.500
4 Tm 0.500 0.500 0.000
5 Tl 0.231 0.769 0.000
6 Tl 0.772 0.772 0.994
7 Tl 0.236 0.236 0.537
8 Tl 0.769 0.231 0.000
9 Tl 0.228 0.228 0.006
10 Tl 0.764 0.764 0.463



Number 1: Fermi-level density of states 0.44 states/eV/f.u.. Number 2: Fermi-level density of states 1.61 states/eV/f.u.. Number 3: Fermi-level density of states 1.56 states/eV/f.u.. Number 4: Fermi-level density of states 11.18 states/eV/f.u.. Number 5: Fermi-level density of states 9.60 states/eV/f.u.. Number 6: Fermi-level density of states 2.78 states/eV/f.u..